Run a
DFT (GGA-PBE) results for LaDyAsO after structural relaxation.

a b c (Å): 4.1895 6.1765 7.3612
angles (deg): 90.00 90.00 90.00
Last column: nearest neighbours and their distance in Å.
Space group Pmc2_1 (No. 26)
One atom of each set of equivalent atoms:
La (0.0000, 0.0795, 0.0000) x2  2 O 2.45-2.55
Dy (0.5000, 0.3701, 0.3385) x2  2 O 2.23
As (0.5000, 0.1893, 0.7043) x2  2 Dy 2.90-2.91, 4 La 3.07-3.10
O (0.0000, 0.2560, 0.2982) x2  2 Dy 2.23, 1 La 2.45

---

Run b
DFT (GGA-PBE) results for LaDyAsO after structural relaxation.

a b c (Å): 4.2469 4.2469 9.4977
angles (deg): 90.00 90.00 90.00
Last column: nearest neighbours and their distance in Å.
Space group P4/nmm (No. 129, origin choice 2)
One atom of each set of equivalent atoms:
La (0.2500, 0.7500, 0.0000) x2  4 La 3.00, 4 As 3.01
Dy (0.2500, 0.2500, 0.4030) x2  4 O 2.31
As (0.2500, 0.2500, 0.7751) x2  4 La 3.01, 4 O 3.37
O (0.2500, 0.7500, 0.5000) x2  4 Dy 2.31

---

Run c
DFT (GGA-PBE) results for LaDyAsO after structural relaxation.

a b c (Å): 4.4515 4.4515 9.1597
angles (deg): 90.00 90.00 90.00
Last column: nearest neighbours and their distance in Å.
Space group P4/nmm (No. 129, origin choice 2)
One atom of each set of equivalent atoms:
La (0.2500, 0.2500, 0.1112) x2  4 O 2.45
Dy (0.2500, 0.7500, 0.5000) x2  4 As 2.85, 4 Dy 3.15
As (0.2500, 0.2500, 0.6935) x2  4 Dy 2.85
O (0.2500, 0.7500, 0.0000) x2  4 La 2.45

---

Going by the energies, run a is most stable and the next is 9.4 kJ/mol of atoms up.

---

Run a
DFT (GGA-PBE) results for LiDyAs after structural relaxation.

a b c (Å): 6.6202 6.6202 6.6202
angles (deg): 90.00 90.00 90.00
Last column: nearest neighbours and their distance in Å.
Space group F-43m (No. 216)
One atom of each set of equivalent atoms:
Li (0.0000, 0.0000, 0.0000) x4  4 Dy 2.87
Dy (0.2500, 0.2500, 0.7500) x4  4 As 2.87, 4 Li 2.87
As (0.0000, 0.0000, 0.5000) x4  4 Dy 2.87

---

Run b
DFT (GGA-PBE) results for LiDyAs after structural relaxation.

a b c (Å): 6.4754 6.4754 6.4754
angles (deg): 90.00 90.00 90.00
Last column: nearest neighbours and their distance in Å.
Space group F-43m (No. 216)
One atom of each set of equivalent atoms:
Li (0.0000, 0.0000, 0.0000) x4  4 As 2.80
Dy (0.0000, 0.0000, 0.5000) x4  4 As 2.80
As (0.2500, 0.2500, 0.7500) x4  4 Dy 2.80, 4 Li 2.80

---

Going by the energies, run b is most stable and the next is 44.0 kJ/mol of atoms up.

---

Run a
DFT (GGA-PBE) results for DyLuAsO after structural relaxation.

a b c (Å): 4.2959 4.2959 8.6500
angles (deg): 90.00 90.00 90.00
Last column: nearest neighbours and their distance in Å.
Space group P4/nmm (No. 129, origin choice 2)
One atom of each set of equivalent atoms:
Dy (0.2500, 0.2500, 0.1033) x2  4 O 2.33
Lu (0.2500, 0.7500, 0.5000) x2  4 As 2.76, 4 Lu 3.04
As (0.2500, 0.2500, 0.7008) x2  4 Lu 2.76
O (0.2500, 0.7500, 0.0000) x2  4 Dy 2.33

---

Run b
DFT (GGA-PBE) results for DyLuAsO after structural relaxation.

a b c (Å): 4.1495 7.3953 5.9153
angles (deg): 90.00 90.00 90.00
Last column: nearest neighbours and their distance in Å.
Space group Pmc2_1 (No. 26)
One atom of each set of equivalent atoms:
Dy (0.0000, 0.2115, 0.0000) x2  2 O 2.30
Lu (0.5000, 0.3911, 0.5805) x2  2 O 2.15-2.19
As (0.0000, 0.1684, 0.4888) x2  2 Lu 2.70, 2 Dy 2.81-2.91
O (0.5000, 0.3354, 0.9378) x2  2 Lu 2.15-2.19, 2 Dy 2.30

---

Going by the energies, run b is most stable and the next is 6.4 kJ/mol of atoms up.

---

Run a
DFT (GGA-PBE) results for DyLuAsO after structural relaxation.

a b c (Å): 4.0706 7.6644 5.6955
angles (deg): 90.00 90.00 90.00
Last column: nearest neighbours and their distance in Å.
Space group Pmc2_1 (No. 26)
One atom of each set of equivalent atoms:
Dy (0.0000, 0.1191, 0.0000) x2  2 O 2.26-2.33
Lu (0.5000, 0.2831, 0.4428) x2  2 O 2.22
As (0.5000, 0.3536, 0.9338) x2  2 Dy 2.74, 3 Lu 2.79-2.95
O (0.0000, 0.1745, 0.3905) x2  2 Lu 2.22, 2 Dy 2.26-2.33

---

Run b
DFT (GGA-PBE) results for DyLuAsO after structural relaxation.

a b c (Å): 4.2877 4.2877 8.6397
angles (deg): 90.00 90.00 90.00
Last column: nearest neighbours and their distance in Å.
Space group P4/nmm (No. 129, origin choice 2)
One atom of each set of equivalent atoms:
Dy (0.2500, 0.7500, 0.0000) x2  4 As 2.82, 4 Dy 3.03
Lu (0.2500, 0.2500, 0.4070) x2  4 O 2.29
As (0.2500, 0.2500, 0.7885) x2  4 Dy 2.82
O (0.2500, 0.7500, 0.5000) x2  4 Lu 2.29

---

Going by the energies, run a is most stable and the next is 10.2 kJ/mol of atoms up.

---

Run a
DFT (GGA-PBE) results for DyMgAs after structural relaxation.

a b c (Å): 6.6269 6.6269 6.6269
angles (deg): 90.00 90.00 90.00
Last column: nearest neighbours and their distance in Å.
Space group F-43m (No. 216)
One atom of each set of equivalent atoms:
Dy (0.0000, 0.0000, 0.0000) x4  4 As 2.87
Mg (0.0000, 0.0000, 0.5000) x4  4 As 2.87
As (0.2500, 0.2500, 0.2500) x4  4 Dy 2.87, 4 Mg 2.87

---

Run b
DFT (GGA-PBE) results for DyMgAs after structural relaxation.

a b c (Å): 6.8908 6.8908 6.8908
angles (deg): 90.00 90.00 90.00
Last column: nearest neighbours and their distance in Å.
Space group F-43m (No. 216)
One atom of each set of equivalent atoms:
Dy (0.0000, 0.0000, 0.0000) x4  4 As 2.98, 4 Mg 2.98
Mg (0.2500, 0.2500, 0.2500) x4  4 Dy 2.98
As (0.2500, 0.2500, 0.7500) x4  4 Dy 2.98

---

Going by the energies, run a is most stable and the next is 25.7 kJ/mol of atoms up.

---

Run a
DFT (GGA-PBE) results for DyAs2O after structural relaxation.

a b c (Å): 3.8804 3.8804 10.1001
angles (deg): 90.00 90.00 90.00
Last column: nearest neighbours and their distance in Å.
Space group P4/nmm (No. 129, origin choice 2)
One atom of each set of equivalent atoms:
Dy (0.2500, 0.2500, 0.1102) x2  4 O 2.24
As (0.2500, 0.2500, 0.7169) x2  4 As 2.93, 4 Dy 3.25
As (0.2500, 0.7500, 0.5000) x2  8 As 2.74-2.93
O (0.2500, 0.7500, 0.0000) x2  4 Dy 2.24

---

Run b
DFT (GGA-PBE) results for DyAs2O after structural relaxation.

a b c (Å): 4.2186 6.0672 6.4594
angles (deg): 90.00 90.00 90.00
Last column: nearest neighbours and their distance in Å.
Space group Pmc2_1 (No. 26)
One atom of each set of equivalent atoms:
Dy (0.0000, 0.2431, 0.0000) x2  2 O 2.27
As (0.0000, 0.2736, 0.4599) x2  2 As 2.51
As (0.5000, 0.1243, 0.6172) x2  1 O 1.88
O (0.5000, 0.2716, 0.8731) x2  1 As 1.88

---

Run c
DFT (GGA-PBE) results for DyAs2O after structural relaxation.

a b c (Å): 3.8105 3.8105 10.6118
angles (deg): 90.00 90.00 90.00
Last column: nearest neighbours and their distance in Å.
Space group P4/nmm (No. 129, origin choice 2)
One atom of each set of equivalent atoms:
Dy (0.2500, 0.2500, 0.1077) x2  4 O 2.22
As (0.2500, 0.2500, 0.7154) x2  4 As 2.98, 4 Dy 3.28
As (0.2500, 0.7500, 0.5000) x2  8 As 2.69-2.98
O (0.2500, 0.7500, 0.0000) x2  4 Dy 2.22

---

Run d
DFT (GGA-PBE) results for DyAs2O after structural relaxation.

a b c (Å): 4.6778 4.6778 7.1720
angles (deg): 90.00 90.00 90.00
Last column: nearest neighbours and their distance in Å.
Space group P4/nmm (No. 129, origin choice 2)
One atom of each set of equivalent atoms:
Dy (0.2500, 0.7500, 0.0000) x2  4 As 2.76
As (0.2500, 0.2500, 0.2055) x2  1 As 2.49, 4 Dy 2.76
As (0.2500, 0.2500, 0.5529) x2  4 O 2.37, 1 As 2.49
O (0.2500, 0.7500, 0.5000) x2  4 As 2.37

---

Going by the energies, run c is most stable and the next is 0.9 kJ/mol of atoms up.